Rb5U2Cl12 PBE-GGA relaxed; electronic total energy = -4.408 eV/atom; magnetization = 5.0 μB per cell; formation energy without anion corrections = -1.7985 eV/atom
1.0
8.481 0.000 0.000
-4.241 8.366 -3.766
0.000 0.404 10.492
Rb U Cl
5 2 12
direct
0.281 0.561 0.600
0.321 0.643 0.211
0.000 0.000 0.500
0.679 0.357 0.789
0.719 0.439 0.400
0.750 0.000 0.000
0.250 0.000 0.000
0.019 0.038 0.177
0.107 0.699 0.944
0.591 0.699 0.944
0.108 0.714 0.446
0.606 0.714 0.446
0.485 0.970 0.822
0.515 0.030 0.178
0.892 0.286 0.554
0.394 0.286 0.554
0.893 0.301 0.056
0.409 0.301 0.056
0.981 0.962 0.823